The following is a PBE calculation of InPbNO2 after structural relaxation, from Alexandria.

Spin magnetization ... 2.0 μB/f.u.
Volume ... 79.8 Å³ per cell
E_form (uncorrected) ... -0.032 eV per atom
VASP energy ... -4.969 eV per atom

a b c (Å): 4.3052 4.3052 4.3080
angles (deg): 90.00 90.00 90.00
Space group P4/mmm (No. 123)
Symmetry-distinct sites (fractional):
In 0.0000 0.0000 0.0000 x1
Pb 0.5000 0.5000 0.5000 x1
N 0.0000 0.0000 0.5000 x1
O 0.0000 0.5000 0.0000 x2